The following is a DFT calculation (PBE) of a relaxed NiIr6Rh8 crystal.

Values from the calculation:
Distance to the lowest polymorph of the same formula: 0.017 eV per atom
SG: No. 148

a = 6.7179 Å, b = 6.7179 Å, c = 6.7179 Å
α = 64.04°, β = 64.04°, γ = 64.04°
Last column: nearest neighbours and their distance in Å.
Fractional coordinates of all 15 atoms:
Ni 0.0000 0.0000 0.0000  6 Ir 2.53
Ir 0.0799 0.3613 0.6777  1 Ni 2.53, 6 Rh 2.54-2.80, 3 Ir 2.63-2.75
Ir 0.3223 0.9201 0.6387  1 Ni 2.53, 6 Rh 2.54-2.80, 3 Ir 2.63-2.75
Ir 0.3613 0.6777 0.0799  1 Ni 2.53, 6 Rh 2.54-2.80, 3 Ir 2.63-2.75
Ir 0.6387 0.3223 0.9201  1 Ni 2.53, 6 Rh 2.54-2.80, 3 Ir 2.63-2.75
Ir 0.6777 0.0799 0.3613  1 Ni 2.53, 6 Rh 2.54-2.80, 3 Ir 2.63-2.75
Ir 0.9201 0.6387 0.3223  1 Ni 2.53, 6 Rh 2.54-2.80, 3 Ir 2.63-2.75
Rh 0.1361 0.8051 0.4436  4 Ir 2.54-2.80, 4 Rh 2.67-2.68
Rh 0.1949 0.5564 0.8639  4 Ir 2.54-2.80, 4 Rh 2.67-2.68
Rh 0.2714 0.2714 0.2714  6 Ir 2.59-2.68, 3 Rh 2.68
Rh 0.4436 0.1361 0.8051  4 Ir 2.54-2.80, 4 Rh 2.67-2.68
Rh 0.5564 0.8639 0.1949  4 Ir 2.54-2.80, 4 Rh 2.67-2.68
Rh 0.7286 0.7286 0.7286  6 Ir 2.59-2.68, 3 Rh 2.68
Rh 0.8051 0.4436 0.1361  4 Ir 2.54-2.80, 4 Rh 2.67-2.68
Rh 0.8639 0.1949 0.5564  4 Ir 2.54-2.80, 4 Rh 2.67-2.68

=====

The following is a DFT calculation (PBE) of a relaxed CeSm3Fe8 crystal.

Values from the calculation:
SG: No. 160

a = 8.9875 Å, b = 8.9875 Å, c = 8.9875 Å
α = 33.58°, β = 33.58°, γ = 33.58°
Last column: nearest neighbours and their distance in Å.
Fractional coordinates of all 12 atoms:
Ce 0.0000 0.0000 0.0000  12 Fe 3.02-3.05, 4 Sm 3.17-3.18
Sm 0.1250 0.1250 0.1250  12 Fe 3.04-3.06, 1 Ce 3.18, 3 Sm 3.19
Sm 0.5008 0.5008 0.5008  12 Fe 3.04-3.06, 4 Sm 3.18-3.19
Sm 0.6260 0.6260 0.6260  12 Fe 3.03-3.05, 3 Ce 3.17, 1 Sm 3.18
Fe 0.0629 0.0629 0.5642  6 Fe 2.59-2.60
Fe 0.0633 0.5623 0.5623  6 Fe 2.58-2.61
Fe 0.0629 0.5642 0.0629  6 Fe 2.59-2.60
Fe 0.3133 0.3133 0.3133  6 Fe 2.58-2.60
Fe 0.5623 0.0633 0.5623  6 Fe 2.58-2.61
Fe 0.5623 0.5623 0.0633  6 Fe 2.58-2.61
Fe 0.5642 0.0629 0.0629  6 Fe 2.59-2.60
Fe 0.8131 0.8131 0.8131  6 Fe 2.60-2.61

=====

The following is a DFT calculation (PBE) of a relaxed MnAsRh3 crystal.

Values from the calculation:
Distance to the lowest polymorph of the same formula: 0.000 eV per atom
SG: No. 221

a = 4.5179 Å, b = 4.5179 Å, c = 4.5179 Å
α = 90.00°, β = 90.00°, γ = 90.00°
Last column: nearest neighbours and their distance in Å.
Fractional coordinates of all 5 atoms:
Mn 0.0000 0.0000 0.0000  12 Rh 3.19
As 0.5000 0.5000 0.5000  6 Rh 2.26
Rh 0.0000 0.5000 0.5000  2 As 2.26
Rh 0.5000 0.0000 0.5000  2 As 2.26
Rh 0.5000 0.5000 0.0000  2 As 2.26

=====

The following is a DFT calculation (PBE) of a relaxed Sm2Zn2GaPd5 crystal.

Values from the calculation:
SG: No. 127

a = 9.8411 Å, b = 9.8411 Å, c = 3.7201 Å
α = 90.00°, β = 90.00°, γ = 90.00°
Last column: nearest neighbours and their distance in Å.
Fractional coordinates of all 20 atoms:
Sm 0.1763 0.3237 0.0000  3 Zn 2.81-2.98, 2 Pd 3.08
Sm 0.3237 0.8237 0.0000  3 Zn 2.81-2.98, 2 Pd 3.08
Sm 0.6763 0.1763 0.0000  3 Zn 2.81-2.98, 2 Pd 3.08
Sm 0.8237 0.6763 0.0000  3 Zn 2.81-2.98, 2 Pd 3.08
Zn 0.1219 0.6219 0.0000  6 Pd 2.52-2.61, 1 Sm 2.81
Zn 0.3781 0.1219 0.0000  6 Pd 2.52-2.61, 1 Sm 2.81
Zn 0.6219 0.8781 0.0000  6 Pd 2.52-2.61, 1 Sm 2.81
Zn 0.8781 0.3781 0.0000  6 Pd 2.52-2.61, 1 Sm 2.81
Ga 0.0000 0.0000 0.0000  8 Pd 2.79
Ga 0.5000 0.5000 0.0000  8 Pd 2.79
Pd 0.0000 0.5000 0.5000  4 Zn 2.52
Pd 0.0613 0.7979 0.5000  2 Zn 2.61, 2 Ga 2.79
Pd 0.2021 0.0613 0.5000  2 Zn 2.61, 2 Ga 2.79
Pd 0.2979 0.5613 0.5000  2 Zn 2.61, 2 Ga 2.79
Pd 0.4387 0.2979 0.5000  2 Zn 2.61, 2 Ga 2.79
Pd 0.5000 0.0000 0.5000  4 Zn 2.52
Pd 0.5613 0.7021 0.5000  2 Zn 2.61, 2 Ga 2.79
Pd 0.7021 0.4387 0.5000  2 Zn 2.61, 2 Ga 2.79
Pd 0.7979 0.9387 0.5000  2 Zn 2.61, 2 Ga 2.79
Pd 0.9387 0.2021 0.5000  2 Zn 2.61, 2 Ga 2.79

=====

The following is a DFT calculation (PBE) of a relaxed CrTePd14 crystal.

Values from the calculation:
SG: No. 123
Energy relative to the elements, uncorrected: -78 meV per atom

a = 5.6610 Å, b = 5.6610 Å, c = 7.8046 Å
α = 90.00°, β = 90.00°, γ = 90.00°
Last column: nearest neighbours and their distance in Å.
Fractional coordinates of all 16 atoms:
Cr 0.0000 0.0000 0.0000  12 Pd 2.77-2.83
Te 0.5000 0.5000 0.0000  12 Pd 2.80-2.83
Pd 0.0000 0.0000 0.5000  12 Pd 2.79-2.83
Pd 0.0000 0.5000 0.0000  8 Pd 2.79, 2 Cr 2.83, 2 Te 2.83
Pd 0.0000 0.5000 0.5000  12 Pd 2.80-2.83
Pd 0.2471 0.2471 0.2484  1 Cr 2.77, 10 Pd 2.79-2.86, 1 Te 2.80
Pd 0.2471 0.2471 0.7516  1 Cr 2.77, 10 Pd 2.79-2.86, 1 Te 2.80
Pd 0.2471 0.7529 0.2484  1 Cr 2.77, 10 Pd 2.79-2.86, 1 Te 2.80
Pd 0.2471 0.7529 0.7516  1 Cr 2.77, 10 Pd 2.79-2.86, 1 Te 2.80
Pd 0.5000 0.0000 0.0000  8 Pd 2.79, 2 Cr 2.83, 2 Te 2.83
Pd 0.5000 0.0000 0.5000  12 Pd 2.80-2.83
Pd 0.5000 0.5000 0.5000  12 Pd 2.82-2.83
Pd 0.7529 0.2471 0.2484  1 Cr 2.77, 10 Pd 2.79-2.86, 1 Te 2.80
Pd 0.7529 0.2471 0.7516  1 Cr 2.77, 10 Pd 2.79-2.86, 1 Te 2.80
Pd 0.7529 0.7529 0.2484  1 Cr 2.77, 10 Pd 2.79-2.86, 1 Te 2.80
Pd 0.7529 0.7529 0.7516  1 Cr 2.77, 10 Pd 2.79-2.86, 1 Te 2.80

=====

The following is a DFT calculation (PBE) of a relaxed Sc4CdCuPt2 crystal.

Values from the calculation:
SG: No. 166

a = 8.1952 Å, b = 8.1952 Å, c = 8.1952 Å
α = 33.52°, β = 33.52°, γ = 33.52°
Last column: nearest neighbours and their distance in Å.
Fractional coordinates of all 8 atoms:
Sc 0.1193 0.1193 0.1193  1 Cu 2.77, 4 Pt 2.84-2.97, 3 Cd 2.94
Sc 0.3702 0.3702 0.3702  4 Pt 2.84-2.96, 3 Cu 2.86, 1 Cd 3.01
Sc 0.6298 0.6298 0.6298  4 Pt 2.84-2.96, 3 Cu 2.86, 1 Cd 3.01
Sc 0.8807 0.8807 0.8807  1 Cu 2.77, 4 Pt 2.84-2.97, 3 Cd 2.94
Cd 0.5000 0.5000 0.5000  8 Sc 2.94-3.01
Cu 0.0000 0.0000 0.0000  8 Sc 2.77-2.86
Pt 0.2475 0.2475 0.2475  8 Sc 2.84-2.97
Pt 0.7525 0.7525 0.7525  8 Sc 2.84-2.97

=====

The following is a DFT calculation (PBE) of a relaxed CdHg2 crystal.

Values from the calculation:
Distance to the lowest polymorph of the same formula: 0.014 eV per atom
SG: No. 194

a = 5.3392 Å, b = 5.3392 Å, c = 6.3310 Å
α = 90.00°, β = 90.00°, γ = 120.00°
Last column: nearest neighbours and their distance in Å.
Fractional coordinates of all 6 atoms:
Cd 0.3333 0.6667 0.2500  5 Hg 3.08-3.17
Cd 0.6667 0.3333 0.7500  5 Hg 3.08-3.17
Hg 0.0000 0.0000 0.0000  8 Hg 3.17-3.47, 6 Cd 3.47
Hg 0.0000 0.0000 0.5000  8 Hg 3.17-3.47, 6 Cd 3.47
Hg 0.3333 0.6667 0.7500  5 Cd 3.08-3.17
Hg 0.6667 0.3333 0.2500  5 Cd 3.08-3.17

=====

The following is a DFT calculation (PBE) of a relaxed VFeRh crystal.

Values from the calculation:
Distance to the lowest polymorph of the same formula: 0.168 eV per atom
SG: No. 187

a = 4.1816 Å, b = 4.1816 Å, c = 2.6387 Å
α = 90.00°, β = 90.00°, γ = 120.00°
Last column: nearest neighbours and their distance in Å.
Fractional coordinates of all 3 atoms:
V 0.0000 0.0000 0.0000  2 V 2.64, 6 Fe 2.75, 6 Rh 2.75
Fe 0.6667 0.3333 0.5000  3 Rh 2.41, 2 Fe 2.64
Rh 0.3333 0.6667 0.5000  3 Fe 2.41, 2 Rh 2.64

=====

The following is a DFT calculation (PBE) of a relaxed Dy2Ge6Pd crystal.

Values from the calculation:
Distance to the lowest polymorph of the same formula: 0.073 eV per atom
SG: No. 38

a = 4.1033 Å, b = 11.1766 Å, c = 11.1766 Å
α = 20.82°, β = 90.00°, γ = 90.00°
Last column: nearest neighbours and their distance in Å.
Fractional coordinates of all 9 atoms:
Dy 0.0000 0.0000 0.0000  10 Ge 2.99-3.14
Dy 0.0000 0.3406 0.3406  10 Ge 3.09-3.45, 4 Pd 3.16
Ge 0.0000 0.6018 0.6018  1 Ge 2.51
Ge 0.0000 0.7161 0.7161  2 Pd 2.51, 1 Ge 2.51
Ge 0.5000 0.0998 0.0998  1 Ge 2.52
Ge 0.5000 0.2145 0.2145  2 Pd 2.50, 1 Ge 2.52
Ge 0.5000 0.4638 0.4638  2 Ge 2.56
Ge 0.5000 0.8921 0.8921  1 Pd 2.43, 2 Ge 2.56
Pd 0.5000 0.7815 0.7815  5 Ge 2.43-2.51

=====

The following is a DFT calculation (PBE) of a relaxed Zr4BiSb crystal.

Values from the calculation:
SG: No. 15
Energy relative to the elements, uncorrected: -331 meV per atom

a = 7.5811 Å, b = 7.5811 Å, c = 5.9079 Å
α = 100.89°, β = 100.89°, γ = 116.10°
Last column: nearest neighbours and their distance in Å.
Fractional coordinates of all 12 atoms:
Zr 0.0982 0.7098 0.9337  2 Sb 2.95-3.04, 2 Bi 3.07-3.22, 4 Zr 3.08-3.19
Zr 0.1973 0.4005 0.6325  2 Sb 2.97-3.00, 3 Zr 3.02-3.19, 2 Bi 3.11-3.21
Zr 0.2902 0.9018 0.5663  2 Sb 2.95-3.04, 2 Bi 3.07-3.22, 4 Zr 3.08-3.19
Zr 0.4005 0.1973 0.1325  2 Sb 2.97-3.00, 3 Zr 3.02-3.19, 2 Bi 3.11-3.21
Zr 0.5995 0.8027 0.8675  2 Sb 2.97-3.00, 3 Zr 3.02-3.19, 2 Bi 3.11-3.21
Zr 0.7098 0.0982 0.4337  2 Sb 2.95-3.04, 2 Bi 3.07-3.22, 4 Zr 3.08-3.19
Zr 0.8027 0.5995 0.3675  2 Sb 2.97-3.00, 3 Zr 3.02-3.19, 2 Bi 3.11-3.21
Zr 0.9018 0.2902 0.0663  2 Sb 2.95-3.04, 2 Bi 3.07-3.22, 4 Zr 3.08-3.19
Bi 0.3907 0.6093 0.2500  10 Zr 3.07-3.42
Bi 0.6093 0.3907 0.7500  10 Zr 3.07-3.42
Sb 0.0094 0.9906 0.2500  8 Zr 2.95-3.04, 2 Sb 2.96
Sb 0.9906 0.0094 0.7500  8 Zr 2.95-3.04, 2 Sb 2.96

=====

The following is a DFT calculation (PBE) of a relaxed NaEuIn4 crystal.

Values from the calculation:
SG: No. 216

a = 6.2094 Å, b = 6.2094 Å, c = 6.2094 Å
α = 60.00°, β = 60.00°, γ = 60.00°
Last column: nearest neighbours and their distance in Å.
Fractional coordinates of all 6 atoms:
Na 0.0000 0.0000 0.0000  12 In 3.64, 4 Eu 3.80
Eu 0.7500 0.7500 0.7500  12 In 3.64, 4 Na 3.80
In 0.3750 0.3750 0.3750  6 In 3.10-3.11
In 0.3750 0.3750 0.8750  6 In 3.10-3.11
In 0.3750 0.8750 0.3750  6 In 3.10-3.11
In 0.8750 0.3750 0.3750  6 In 3.10-3.11

=====

The following is a DFT calculation (PBE) of a relaxed Pr2NdTm3 crystal.

Values from the calculation:
Distance to the lowest polymorph of the same formula: 0.000 eV per atom
SG: No. 12

a = 9.1417 Å, b = 9.1417 Å, c = 14.3065 Å
α = 116.85°, β = 116.85°, γ = 22.20°
Last column: nearest neighbours and their distance in Å.
Fractional coordinates of all 12 atoms:
Pr 0.1550 0.1550 0.4668  5 Tm 3.42-3.78, 2 Nd 3.47-3.60, 4 Pr 3.52-3.55
Pr 0.3193 0.3193 0.1190  5 Tm 3.43-3.57, 4 Pr 3.52-3.62, 2 Nd 3.54
Pr 0.6807 0.6807 0.8810  5 Tm 3.43-3.57, 4 Pr 3.52-3.62, 2 Nd 3.54
Pr 0.8450 0.8450 0.5332  5 Tm 3.42-3.78, 2 Nd 3.47-3.60, 4 Pr 3.52-3.55
Nd 0.0626 0.0626 0.6434  4 Pr 3.47-3.60, 3 Nd 3.52-3.66, 4 Tm 3.74-3.86
Nd 0.9374 0.9374 0.3566  4 Pr 3.47-3.60, 3 Nd 3.52-3.66, 4 Tm 3.74-3.86
Tm 0.0984 0.0984 0.0264  8 Tm 3.25-3.62, 3 Pr 3.53-3.55
Tm 0.2358 0.2358 0.2918  4 Pr 3.42-3.55, 5 Tm 3.45-3.60, 2 Nd 3.74
Tm 0.4600 0.4600 0.7955  8 Tm 3.52-3.62, 3 Pr 3.57-3.78, 2 Nd 3.86
Tm 0.5400 0.5400 0.2045  8 Tm 3.52-3.62, 3 Pr 3.57-3.78, 2 Nd 3.86
Tm 0.7642 0.7642 0.7082  4 Pr 3.42-3.55, 5 Tm 3.45-3.60, 2 Nd 3.74
Tm 0.9016 0.9016 0.9736  8 Tm 3.25-3.62, 3 Pr 3.53-3.55

=====

Results for total magnetization: 0.0; 14.2; 5.0; 0.0; 2.6; 0.0; 0.0; 0.7; 0.0; 0.0; 7.0; 0.0 (in μB per formula unit, following the order of the records).
Results for energy: -7.549; -7.315; -6.799; -4.766; -5.419; -6.077; -0.476; -8.316; -5.184; -7.364; -4.024; -4.503 (in eV per atom, following the order of the records).